(1)
Material: Na2CaCdBi2
Method: DFT, PBE
State: optimized geometry

Results
- space-group type = No. 26
- DFT total energy (Ry per atom) = -0.1996
- energy of formation (eV/atom) = -0.50

Cell and atoms, written as extended XYZ:
```
12
Lattice="4.805 0.000 0.000 0.000 9.443 0.000 0.000 0.000 8.029" Properties=species:S:1:pos:R:3 pbc="T T T"
Na 0.000 0.721 0.000
Na 0.000 8.722 4.014
Na 2.403 1.643 2.553
Na 2.403 7.801 6.568
Ca 2.403 4.181 7.517
Ca 2.403 5.262 3.503
Cd 0.000 2.940 4.815
Cd 0.000 6.503 0.801
Bi 0.000 3.597 1.775
Bi 0.000 5.846 5.789
Bi 2.403 1.435 5.757
Bi 2.403 8.009 1.742
```

=====

(2)
Material: Ti2PBr
Method: DFT, PBE
State: optimized geometry

Results
- space-group type = No. 225
- DFT total energy (Ry per atom) = -0.4560
- formation energy from raw total energies (eV per formula unit) = -1.94
- energy above the most stable polymorph in this dataset (meV per atom) = 0.0

Cell and atoms, written as extended XYZ:
```
4
Lattice="0.000 3.168 3.168 3.168 0.000 3.168 3.168 3.168 0.000" Properties=species:S:1:pos:R:3 pbc="T T T"
Ti 1.584 1.584 1.584
Ti 4.751 4.751 4.751
P 0.000 0.000 0.000
Br 3.168 3.168 3.168
```

=====

(3)
Material: Cs2SbSe3
Method: DFT, PBE
State: optimized geometry

Results
- space-group type = No. 15
- DFT total energy (Ry per atom) = -0.2571
- formation energy from raw total energies (eV per formula unit) = -4.70
- energy above the most stable polymorph in this dataset (meV per atom) = 23.4

Cell and atoms, written as extended XYZ:
```
12
Lattice="6.943 -4.765 0.000 6.943 4.765 0.000 -0.300 0.000 7.316" Properties=species:S:1:pos:R:3 pbc="T T T"
Cs 4.584 3.222 5.639
Cs 8.852 3.222 5.335
Cs 4.734 -3.222 1.981
Cs 9.002 -3.222 1.677
Sb 6.868 0.689 1.829
Sb 6.718 -0.689 5.487
Se 6.868 3.241 1.829
Se 4.831 0.081 3.623
Se 4.681 -0.081 7.281
Se 8.904 0.081 0.035
Se 8.755 -0.081 3.693
Se 6.718 -3.241 5.487
```

=====

(4)
Material: LuScHgIr
Method: DFT, PBE
State: optimized geometry

Results
- space-group type = No. 216
- DFT total energy (Ry per atom) = -0.4150
- energy of formation (eV/atom) = -0.64

Cell and atoms, written as extended XYZ:
```
4
Lattice="0.000 3.431 3.431 3.431 0.000 3.431 3.431 3.431 0.000" Properties=species:S:1:pos:R:3 pbc="T T T"
Lu 0.000 0.000 0.000
Sc 3.431 3.431 3.431
Hg 1.715 1.715 1.715
Ir 5.146 5.146 5.146
```

=====

(5)
Material: PaTlReO6
Method: DFT, PBE
State: optimized geometry

Results
- space-group type = No. 74
- DFT total energy (Ry per atom) = -0.6021
- formation energy from raw total energies (eV per formula unit) = -19.66

Cell and atoms, written as extended XYZ:
```
18
Lattice="-3.708 3.956 5.462 3.708 -3.956 5.462 3.708 3.956 -5.462" Properties=species:S:1:pos:R:3 pbc="T T T"
Pa 0.000 0.000 0.000
Pa 0.000 3.956 0.000
Tl 3.708 1.978 1.673
Tl 0.000 1.978 3.789
Re 1.854 1.978 -2.731
Re 1.854 -1.978 2.731
O 3.708 1.978 -2.337
O 1.555 -0.607 1.410
O 5.862 -0.607 1.410
O 1.555 3.349 -1.410
O 2.154 -0.607 4.052
O 0.000 1.978 0.922
O 3.708 1.978 4.540
O 1.555 4.564 1.410
O 2.154 0.607 6.873
O -2.154 4.564 4.052
O 2.154 4.564 4.052
O 0.000 1.978 7.799
```

=====

(6)
Material: BWS2N
Method: DFT, PBE
State: optimized geometry

Results
- space-group type = No. 123
- DFT total energy (Ry per atom) = -0.4612
- formation energy from raw total energies (eV per formula unit) = 4.84
- energy above the most stable polymorph in this dataset (meV per atom) = 245.4

Cell and atoms, written as extended XYZ:
```
5
Lattice="4.785 0.000 0.000 0.000 4.785 0.000 0.000 0.000 3.816" Properties=species:S:1:pos:R:3 pbc="T T T"
B 0.000 0.000 0.000
W 2.392 2.392 1.908
S 0.000 2.392 1.908
S 2.392 0.000 1.908
N 2.392 2.392 0.000
```

=====

(7)
Material: TaInRu
Method: DFT, PBE
State: optimized geometry

Results
- space-group type = No. 156
- DFT total energy (Ry per atom) = -0.5783
- energy of formation (eV/atom) = 0.09

Cell and atoms, written as extended XYZ:
```
3
Lattice="4.525 0.000 0.000 -2.263 3.919 0.000 0.000 0.000 2.977" Properties=species:S:1:pos:R:3 pbc="T T T"
Ta 0.000 0.000 0.000
In 2.263 1.306 1.326
Ru 0.000 2.613 2.227
```

=====

(8)
Material: CeYCu2Si2
Method: DFT, PBE
State: optimized geometry

Results
- space-group type = No. 164
- DFT total energy (Ry per atom) = -0.4311
- formation energy from raw total energies (eV per formula unit) = -3.76

Cell and atoms, written as extended XYZ:
```
6
Lattice="4.146 0.000 0.000 -2.073 3.590 0.000 0.000 0.000 7.761" Properties=species:S:1:pos:R:3 pbc="T T T"
Ce 0.000 0.000 0.000
Y 0.000 0.000 3.880
Cu 0.000 2.394 1.986
Cu 2.073 1.197 5.775
Si 0.000 2.394 5.798
Si 2.073 1.197 1.963
```

=====

(9)
Material: Ac2Ga6NiRu
Method: DFT, PBE
State: optimized geometry

Results
- space-group type = No. 12
- DFT total energy (Ry per atom) = -0.3373
- energy of formation (eV/atom) = -0.45

Cell and atoms, written as extended XYZ:
```
10
Lattice="5.730 -3.278 0.000 5.730 3.278 0.000 -3.878 0.000 5.696" Properties=species:S:1:pos:R:3 pbc="T T T"
Ac 1.914 0.000 0.862
Ac 5.667 0.000 4.833
Ga 2.662 1.375 3.913
Ga 0.271 0.000 3.907
Ga 4.920 1.375 1.783
Ga 2.662 -1.375 3.913
Ga 7.310 0.000 1.789
Ga 4.920 -1.375 1.783
Ni 5.730 0.000 0.000
Ru -1.939 0.000 2.848
```

=====

(10)
Material: MgScGa2Pt2
Method: DFT, PBE
State: optimized geometry

Results
- space-group type = No. 164
- DFT total energy (Ry per atom) = -0.3842
- energy of formation (eV/atom) = -0.88

Cell and atoms, written as extended XYZ:
```
6
Lattice="4.401 0.000 0.000 -2.200 3.811 0.000 0.000 0.000 6.099" Properties=species:S:1:pos:R:3 pbc="T T T"
Mg 0.000 0.000 0.000
Sc 0.000 0.000 3.050
Ga 0.000 2.541 1.481
Ga 2.200 1.270 4.619
Pt 0.000 2.541 4.591
Pt 2.200 1.270 1.509
```

=====

(11)
Material: Pm3Co2Ag
Method: DFT, PBE
State: optimized geometry

Results
- space-group type = No. 123
- DFT total energy (Ry per atom) = -0.3905
- energy above the most stable polymorph in this dataset (meV per atom) = 13.8
- energy of formation (eV/atom) = -0.09

Cell and atoms, written as extended XYZ:
```
6
Lattice="3.453 0.000 0.000 0.000 3.453 0.000 0.000 0.000 11.175" Properties=species:S:1:pos:R:3 pbc="T T T"
Pm 0.000 0.000 0.000
Pm 0.000 0.000 3.428
Pm 0.000 0.000 7.747
Co 1.726 1.726 1.780
Co 1.726 1.726 9.394
Ag 1.726 1.726 5.587
```

=====

(12)
Material: Pr6Al2Ga
Method: DFT, PBE
State: optimized geometry

Results
- space-group type = No. 71
- DFT total energy (Ry per atom) = -0.3380
- energy above the most stable polymorph in this dataset (meV per atom) = 0.0
- energy of formation (eV/atom) = -0.24

Cell and atoms, written as extended XYZ:
```
18
Lattice="-5.119 5.151 5.235 5.119 -5.151 5.235 5.119 5.151 -5.235" Properties=species:S:1:pos:R:3 pbc="T T T"
Pr 5.119 -2.896 3.424
Pr 3.099 0.000 2.671
Pr 7.140 0.000 2.671
Pr 3.323 2.699 0.000
Pr 6.916 2.699 0.000
Pr 0.000 2.255 1.811
Pr 5.119 2.896 3.424
Pr -1.796 2.452 5.235
Pr 1.796 2.452 5.235
Pr -2.021 5.151 2.564
Pr 2.021 5.151 2.564
Pr 0.000 8.048 1.811
Al 1.383 0.000 0.000
Al 8.856 0.000 0.000
Al 0.000 0.000 3.929
Al 0.000 0.000 6.541
Ga 5.119 0.000 0.000
Ga 0.000 5.151 0.000
```